1.
{
  "formula": "SmEr3Ru3",
  "functional": "PBE",
  "state": "optimized geometry",
  "lattice": [[-3.510, -4.659, 0.339], [4.120, -0.983, -3.969], [2.504, 0.951, 5.193]],
  "species": ["Sm", "Er", "Er", "Er", "Ru", "Ru", "Ru"],
  "fractional_positions": [[0.000, 0.417, 0.000], [0.415, 0.003, 0.000], [0.585, 0.588, 0.585], [0.000, 0.003, 0.415], [0.501, 0.505, 0.000], [0.499, 0.004, 0.499], [0.000, 0.505, 0.501]],
  "delta_e_f_ev_per_atom": -0.364
}

2.
{
  "formula": "Cd5Sn2Hg3Pb2",
  "functional": "PBE",
  "state": "optimized geometry",
  "lattice": [[-2.429, 3.697, 0.695], [-3.663, -2.512, 0.564], [6.084, -1.524, 14.956]],
  "species": ["Cd", "Cd", "Cd", "Cd", "Cd", "Sn", "Sn", "Hg", "Hg", "Hg", "Pb", "Pb"],
  "fractional_positions": [[0.571, 0.071, 0.143], [0.429, 0.929, 0.857], [0.071, 0.571, 0.143], [0.929, 0.429, 0.857], [0.500, 0.500, 0.000], [0.363, 0.363, 0.725], [0.637, 0.637, 0.275], [0.162, 0.162, 0.324], [0.838, 0.838, 0.676], [0.000, 0.000, 0.000], [0.735, 0.735, 0.471], [0.265, 0.265, 0.529]],
  "delta_e_f_ev_per_atom": 0.061
}

3.
{
  "formula": "H2Pd5Pb",
  "functional": "PBE",
  "state": "optimized geometry",
  "lattice": [[4.009, 0.000, 0.000], [0.000, 4.009, 0.000], [-2.005, -2.005, 6.923]],
  "species": ["H", "H", "Pd", "Pd", "Pd", "Pd", "Pd", "Pb"],
  "fractional_positions": [[0.159, 0.159, 0.318], [0.841, 0.841, 0.682], [0.652, 0.152, 0.304], [0.152, 0.652, 0.304], [0.848, 0.348, 0.696], [0.348, 0.848, 0.696], [0.000, 0.000, 0.000], [0.500, 0.500, 0.000]]
}

no.,DFT total energy (eV per atom)
1,-6.969
2,-1.681
3,-4.627